(1)
TaAg3P | SCAN | PBEsol geometry Values from VASP.

Geometry as Quantum ESPRESSO input:
```
&SYSTEM
  ibrav = 0, nat = 5, ntyp = 3
/
ATOMIC_SPECIES
P 30.97 P.upf
Ag 107.87 Ag.upf
Ta 180.95 Ta.upf
CELL_PARAMETERS angstrom
4.540 0.000 0.000
0.000 4.540 0.000
0.000 0.000 4.540
ATOMIC_POSITIONS crystal
P 0.000 0.000 0.000
Ag 0.000 0.500 0.000
Ag 0.000 0.000 0.500
Ag 0.500 0.000 0.000
Ta 0.500 0.500 0.500
```

## Properties
Space group: Pm-3m
Total magnetization, Bohr magnetons per cell: 0.00
Final energy, eV per atom: -33.026
Fermi-level density of states, states/eV/f.u.: 3.47

(2)
Be2AsAu | SCAN | PBEsol geometry Values from VASP.

Geometry as Quantum ESPRESSO input:
```
&SYSTEM
  ibrav = 0, nat = 4, ntyp = 3
/
ATOMIC_SPECIES
Be 9.01 Be.upf
As 74.92 As.upf
Au 196.97 Au.upf
CELL_PARAMETERS angstrom
-0.980 2.512 0.907
-2.532 -0.186 -2.223
-1.506 -3.858 4.598
ATOMIC_POSITIONS crystal
Be 0.961 0.961 0.921
Be 0.701 0.201 0.401
As 0.545 0.545 0.090
Au 0.294 0.794 0.588
```

## Properties
Space group: Imm2
Total magnetization, Bohr magnetons per cell: 0.00
Final energy, eV per atom: -24.435
Fermi-level density of states, states/eV/f.u.: 0.96